Material: Ac12Ga3H5
Method: DFT, PBE
State: optimized geometry

CIF file:
```
data_Ac12Ga3H5
_cell_length_a 17.020
_cell_length_b 17.020
_cell_length_c 17.020
_cell_angle_alpha 90.00
_cell_angle_beta 90.00
_cell_angle_gamma 90.00
_space_group_name_H-M_alt 'I a -3 d'
_space_group_IT_number 230
_space_group_name_Hall '-I 4bd 2c 3'
loop_
_atom_site_label
_atom_site_type_symbol
_atom_site_fract_x
_atom_site_fract_y
_atom_site_fract_z
_atom_site_occupancy
Ac1 Ac 0.037 0.060 0.653 1
Ga1 Ga 0.000 0.250 0.125 1
H1 H 0.000 0.000 0.000 1
H2 H 0.000 0.250 0.375 1
```

Summary:
Magnetization   0.00 μB per atom
Fermi-level density of states   179.77 states/eV per cell
E_tot   -637.67 eV per cell

---

Material: Na2AlGeSe5
Method: DFT, PBE
State: optimized geometry

CIF file:
```
data_Na2AlGeSe5
_cell_length_a 3.551
_cell_length_b 19.499
_cell_length_c 13.155
_cell_angle_alpha 90.00
_cell_angle_beta 90.00
_cell_angle_gamma 90.00
_space_group_name_H-M_alt 'C m c 21'
_space_group_IT_number 36
loop_
_space_group_symop_operation_xyz
'x,y,z'
'-x,-y,z+1/2'
'-x,y,z'
'x,-y,z+1/2'
'x+1/2,y+1/2,z'
'-x+1/2,-y+1/2,z+1/2'
'-x+1/2,y+1/2,z'
'x+1/2,-y+1/2,z+1/2'
loop_
_atom_site_label
_atom_site_type_symbol
_atom_site_fract_x
_atom_site_fract_y
_atom_site_fract_z
_atom_site_occupancy
Na1 Na 0.000 0.119 0.000 1
Na2 Na 0.000 0.128 0.374 1
Al1 Al 0.000 0.226 0.738 1
Ge1 Ge 0.000 0.434 0.133 1
Se1 Se 0.000 0.034 0.746 1
Se2 Se 0.000 0.285 0.368 1
Se3 Se 0.000 0.313 0.102 1
Se4 Se 0.000 0.346 0.689 1
Se5 Se 0.000 0.487 0.973 1
```

Summary:
Magnetization   0.01 μB per atom
Fermi-level density of states   11.50 states/eV per cell
E_tot   -137.78 eV per cell

---

Material: Sc6CoRh5
Method: DFT, PBE
State: optimized geometry

CIF file:
```
data_Sc6CoRh5
_cell_length_a 4.553
_cell_length_b 6.403
_cell_length_c 7.189
_cell_angle_alpha 90.00
_cell_angle_beta 108.41
_cell_angle_gamma 90.00
_space_group_name_H-M_alt 'P 1 2/m 1'
_space_group_IT_number 10
loop_
_space_group_symop_operation_xyz
'x,y,z'
'-x,-y,-z'
'-x,y,-z'
'x,-y,z'
loop_
_atom_site_label
_atom_site_type_symbol
_atom_site_fract_x
_atom_site_fract_y
_atom_site_fract_z
_atom_site_occupancy
Sc1 Sc 0.000 0.246 0.000 1
Sc2 Sc 0.335 0.248 0.671 1
Co1 Co 0.500 0.000 0.000 1
Rh1 Rh 0.167 0.000 0.333 1
Rh2 Rh 0.167 0.500 0.334 1
Rh3 Rh 0.500 0.500 0.000 1
```

Summary:
Magnetization   0.01 μB per atom
Fermi-level density of states   4.01 states/eV per cell
Formation energy from the elements   -21.00 kcal/mol of atoms

---

Material: Cu3SbS3
Method: DFT, PBE
State: optimized geometry

CIF file:
```
data_Cu3SbS3
_cell_length_a 10.118
_cell_length_b 10.118
_cell_length_c 10.118
_cell_angle_alpha 90.00
_cell_angle_beta 90.00
_cell_angle_gamma 90.00
_space_group_name_H-M_alt 'I -4 3 m'
_space_group_IT_number 217
_space_group_name_Hall 'I -4 2 3'
loop_
_atom_site_label
_atom_site_type_symbol
_atom_site_fract_x
_atom_site_fract_y
_atom_site_fract_z
_atom_site_occupancy
Cu1 Cu 0.000 0.000 0.182 1
Cu2 Cu 0.000 0.250 0.500 1
Sb1 Sb 0.228 0.228 0.772 1
S1 S 0.111 0.111 0.357 1
```

Summary:
Magnetization   0.00 μB per atom
Fermi-level density of states   49.44 states/eV per cell
E_tot   -240.41 eV per cell

---

Material: La2CdSbH
Method: DFT, PBE
State: optimized geometry

CIF file:
```
data_La2CdSbH
_cell_length_a 5.092
_cell_length_b 5.092
_cell_length_c 4.584
_cell_angle_alpha 90.00
_cell_angle_beta 90.00
_cell_angle_gamma 90.00
_space_group_name_H-M_alt 'P 4/m m m'
_space_group_IT_number 123
_space_group_name_Hall '-P 4 2'
loop_
_atom_site_label
_atom_site_type_symbol
_atom_site_fract_x
_atom_site_fract_y
_atom_site_fract_z
_atom_site_occupancy
La1 La 0.000 0.500 0.000 1
Cd1 Cd 0.000 0.000 0.500 1
Sb1 Sb 0.500 0.500 0.500 1
H1 H 0.000 0.000 0.000 1
```

Summary:
Magnetization   0.00 μB per atom
Fermi-level density of states   4.00 states/eV per cell
E_tot   -21.26 eV per cell

---

Material: Dy2TmZr
Method: DFT, PBE
State: optimized geometry

CIF file:
```
data_Dy2TmZr
_cell_length_a 3.4258
_cell_length_b 3.4258
_cell_length_c 33.7142
_cell_angle_alpha 90.00
_cell_angle_beta 90.00
_cell_angle_gamma 120.00
_space_group_name_H-M_alt 'R -3 m'
_space_group_IT_number 166
_space_group_name_Hall '-R 3 2"'
loop_
_atom_site_label
_atom_site_type_symbol
_atom_site_fract_x
_atom_site_fract_y
_atom_site_fract_z
_atom_site_occupancy
Dy1 Dy 0.0000 0.0000 0.2457 1
Tm1 Tm 0.0000 0.0000 0.0000 1
Zr1 Zr 0.0000 0.0000 0.5000 1
```

Summary:
Magnetization   0.00 μB per atom
Fermi-level density of states   15.86 states/eV per cell
Formation energy from the elements   1.88 kcal/mol of atoms